(1)
# PrNd2Hg | Alexandria via LeMat-Bulk | PBE | optimized geometry
# - electronic total energy (eV/atom) = -3.89
# - calculated formation energy (eV per atom) = -0.23
data_PrNd2Hg
_cell_length_a 3.768
_cell_length_b 3.768
_cell_length_c 9.022
_cell_angle_alpha 90.00
_cell_angle_beta 90.00
_cell_angle_gamma 90.00
_space_group_name_H-M_alt 'P 4/m m m'
_space_group_IT_number 123
_space_group_name_Hall '-P 4 2'
loop_
_atom_site_label
_atom_site_fract_x
_atom_site_fract_y
_atom_site_fract_z
Pr1 0.000 0.000 0.000
Nd1 0.500 0.500 0.281
Hg1 0.000 0.000 0.500

(2)
# Tm3ScPb2 | Alexandria via LeMat-Bulk | PBE | optimized geometry
# - electronic total energy (eV/atom) = -4.93
# - calculated formation energy (eV per atom) = -0.40
data_Tm3ScPb2
_cell_length_a 6.331
_cell_length_b 16.551
_cell_length_c 6.329
_cell_angle_alpha 90.00
_cell_angle_beta 90.00
_cell_angle_gamma 90.00
_space_group_name_H-M_alt 'I b a m'
_space_group_IT_number 72
_space_group_name_Hall '-I 2 2c'
loop_
_atom_site_label
_atom_site_fract_x
_atom_site_fract_y
_atom_site_fract_z
Tm1 0.000 0.000 0.250
Tm2 0.249 0.331 0.000
Sc1 0.000 0.500 0.250
Pb1 0.245 0.360 0.500

(3)
# KTm4Tl5 | Alexandria via LeMat-Bulk | PBE | optimized geometry
# - electronic total energy (eV/atom) = -3.33
# - calculated formation energy (eV per atom) = -0.25
data_KTm4Tl5
_cell_length_a 3.785
_cell_length_b 3.785
_cell_length_c 19.852
_cell_angle_alpha 90.00
_cell_angle_beta 90.00
_cell_angle_gamma 90.00
_space_group_name_H-M_alt 'P 4/m m m'
_space_group_IT_number 123
_space_group_name_Hall '-P 4 2'
loop_
_atom_site_label
_atom_site_fract_x
_atom_site_fract_y
_atom_site_fract_z
K1 0.000 0.000 0.000
Tm1 0.000 0.000 0.217
Tm2 0.000 0.000 0.405
Tl1 0.500 0.500 0.129
Tl2 0.500 0.500 0.312
Tl3 0.500 0.500 0.500

(4)
# Ca3PtAu | Alexandria via LeMat-Bulk | PBE | optimized geometry
# - electronic total energy (eV/atom) = -3.84
# - calculated formation energy (eV per atom) = -0.77
data_Ca3PtAu
_cell_length_a 8.881
_cell_length_b 7.571
_cell_length_c 8.325
_cell_angle_alpha 90.00
_cell_angle_beta 102.44
_cell_angle_gamma 90.00
_space_group_name_H-M_alt 'P 1 21/c 1'
_space_group_IT_number 14
loop_
_space_group_symop_operation_xyz
'x,y,z'
'-x,-y,-z'
'-x,y+1/2,-z+1/2'
'x,-y+1/2,z+1/2'
loop_
_atom_site_label
_atom_site_fract_x
_atom_site_fract_y
_atom_site_fract_z
Ca1 0.050 0.001 0.209
Ca2 0.274 0.141 0.590
Ca3 0.355 0.689 0.469
Pt1 0.062 0.679 0.020
Au1 0.420 0.049 0.289

(5)
# Rb2NaCdAu | Alexandria via LeMat-Bulk | PBE | optimized geometry
# - electronic total energy (eV/atom) = -1.52
# - calculated formation energy (eV per atom) = -0.03
data_Rb2NaCdAu
_cell_length_a 6.630
_cell_length_b 6.630
_cell_length_c 5.697
_cell_angle_alpha 90.00
_cell_angle_beta 90.00
_cell_angle_gamma 90.00
_space_group_name_H-M_alt 'P 4/m m m'
_space_group_IT_number 123
_space_group_name_Hall '-P 4 2'
loop_
_atom_site_label
_atom_site_fract_x
_atom_site_fract_y
_atom_site_fract_z
Rb1 0.000 0.500 0.000
Na1 0.000 0.000 0.500
Cd1 0.500 0.500 0.500
Au1 0.000 0.000 0.000

(6)
# Nb3PdPt4 | Alexandria via LeMat-Bulk | PBE | optimized geometry
# - electronic total energy (eV/atom) = -7.60
# - calculated formation energy (eV per atom) = -0.16
data_Nb3PdPt4
_cell_length_a 22.936
_cell_length_b 2.806
_cell_length_c 4.711
_cell_angle_alpha 90.00
_cell_angle_beta 93.10
_cell_angle_gamma 90.00
_space_group_name_H-M_alt 'C 1 2/m 1'
_space_group_IT_number 12
loop_
_space_group_symop_operation_xyz
'x,y,z'
'-x,-y,-z'
'-x,y,-z'
'x,-y,z'
'x+1/2,y+1/2,z'
'-x+1/2,-y+1/2,-z'
'-x+1/2,y+1/2,-z'
'x+1/2,-y+1/2,z'
loop_
_atom_site_label
_atom_site_fract_x
_atom_site_fract_y
_atom_site_fract_z
Nb1 0.000 0.000 0.000
Nb2 0.182 0.000 0.621
Pd1 0.000 0.500 0.500
Pt1 0.097 0.500 0.880
Pt2 0.208 0.500 0.153

(7)
# LaY6Ho3Th2 | Alexandria via LeMat-Bulk | PBE | optimized geometry
# - electronic total energy (eV/atom) = -5.99
# - calculated formation energy (eV per atom) = 0.03
data_LaY6Ho3Th2
_cell_length_a 6.216
_cell_length_b 10.759
_cell_length_c 11.778
_cell_angle_alpha 90.00
_cell_angle_beta 100.15
_cell_angle_gamma 90.00
_space_group_name_H-M_alt 'C 1 2/m 1'
_space_group_IT_number 12
loop_
_space_group_symop_operation_xyz
'x,y,z'
'-x,-y,-z'
'-x,y,-z'
'x,-y,z'
'x+1/2,y+1/2,z'
'-x+1/2,-y+1/2,-z'
'-x+1/2,y+1/2,-z'
'x+1/2,-y+1/2,z'
loop_
_atom_site_label
_atom_site_fract_x
_atom_site_fract_y
_atom_site_fract_z
La1 0.000 0.000 0.000
Y1 0.245 0.500 0.250
Y2 0.247 0.331 0.750
Ho1 0.000 0.166 0.500
Ho2 0.000 0.500 0.500
Th1 0.000 0.333 0.000

(8)
# NaC2N2F | Alexandria via LeMat-Bulk | PBE | optimized geometry
# - E_form (uncorrected) (eV/f.u.) = -3.7
# - electronic total energy (eV/atom) = -7.00
data_NaC2N2F
_cell_length_a 6.147
_cell_length_b 4.565
_cell_length_c 6.166
_cell_angle_alpha 90.00
_cell_angle_beta 111.22
_cell_angle_gamma 90.00
_space_group_name_H-M_alt 'P 1 21/m 1'
_space_group_IT_number 11
loop_
_space_group_symop_operation_xyz
'x,y,z'
'-x,-y,-z'
'-x,y+1/2,-z'
'x,-y+1/2,z'
loop_
_atom_site_label
_atom_site_fract_x
_atom_site_fract_y
_atom_site_fract_z
Na1 0.145 0.250 0.412
C1 0.404 0.000 0.047
N1 0.316 0.250 0.090
N2 0.317 0.750 0.091
F1 0.196 0.750 0.544